Computed, not measured: crystalline Ac2MoWO8 at its relaxed geometry at the PBE with a Hubbard U level of DFT.

## Properties
As for the size of the total moment: 2.00 μB per cell. The total energy comes out at -7.74 eV/atom.

The structure in CIF format:
```
data_Ac2MoWO8
_chemical_formula_sum 'Ac2 Mo1 W1 O8'
_symmetry_space_group_name_H-M 'P -1'
_symmetry_Int_Tables_number 2
_cell_length_a 5.4211
_cell_length_b 6.2263
_cell_length_c 6.3356
_cell_angle_alpha 76.78
_cell_angle_beta 69.29
_cell_angle_gamma 75.59
loop_
_symmetry_equiv_pos_as_xyz
'x,y,z'
'-x,-y,-z'
loop_
_atom_site_label
_atom_site_fract_x
_atom_site_fract_y
_atom_site_fract_z
_atom_site_occupancy
Ac1 0.1176 0.1881 0.1476 1
Mo1 0.5000 0.0000 0.5000 1
W1 0.5000 0.5000 0.5000 1
O1 0.2588 0.4768 0.8095 1
O2 0.2719 0.7988 0.4369 1
O3 0.2813 0.9685 0.8333 1
O4 0.2973 0.3230 0.4240 1
```